First-principles (PBE-GGA) data for a relaxed structure of LaCd2Ir, as listed in the Alexandria database.

Cell: 3.212 4.764 5.767 Å, 90.00 90.00 90.00°
Fractional positions:
La  0.000  0.000  0.000
Cd  0.500  0.500  0.271
Cd  0.500  0.500  0.729
Ir  0.000  0.000  0.500

Volume (Å³ per atom): 22.06
Energy relative to the elements (eV/atom): -0.047
Final energy (eV/f.u.): -15.8